Entry 1:
! MoPAu2 (PBE, relaxed); values from VASP
! Space group: No. 216
! Calculated formation energy (kJ/mol of formula units): 150
&SYSTEM
  ibrav = 0, nat = 4, ntyp = 3
/
ATOMIC_SPECIES
Mo 95.94 Mo.upf
P 30.97 P.upf
Au 196.97 Au.upf
CELL_PARAMETERS angstrom
-1.635 -1.934 3.743
-3.794 1.574 1.885
-3.799 -2.440 -0.192
ATOMIC_POSITIONS crystal
Mo 0.500 0.500 0.500
P 0.750 0.750 0.750
Au 0.000 0.000 0.000
Au 0.250 0.250 0.250



Entry 2:
! MoPAu2 (PBE, relaxed); values from VASP
! Space group: No. 38
! Calculated formation energy (kJ/mol of formula units): 1
&SYSTEM
  ibrav = 0, nat = 4, ntyp = 3
/
ATOMIC_SPECIES
Au 196.97 Au.upf
Mo 95.94 Mo.upf
P 30.97 P.upf
CELL_PARAMETERS angstrom
3.149 4.428 -4.138
-5.361 -3.712 2.033
-0.978 2.429 1.855
ATOMIC_POSITIONS crystal
Au 0.191 0.809 0.000
Au 0.555 0.445 0.500
Mo 0.909 0.091 0.000
P 0.337 0.663 0.500



Entry 3:
! MoPAu2 (PBE, relaxed); values from VASP
! Space group: No. 8
! Calculated formation energy (kJ/mol of formula units): 50
&SYSTEM
  ibrav = 0, nat = 4, ntyp = 3
/
ATOMIC_SPECIES
Au 196.97 Au.upf
P 30.97 P.upf
Mo 95.94 Mo.upf
CELL_PARAMETERS angstrom
3.315 0.634 2.783
3.661 2.387 0.202
-2.332 4.376 2.660
ATOMIC_POSITIONS crystal
Au 0.231 0.231 0.271
Au 0.974 0.974 0.999
P 0.791 0.791 0.657
Mo 0.504 0.504 0.573



Entry 4:
! MoPAu4 (PBE, relaxed); values from VASP
! Space group: No. 216
! Calculated formation energy (kJ/mol of formula units): 398
&SYSTEM
  ibrav = 0, nat = 6, ntyp = 3
/
ATOMIC_SPECIES
Mo 95.94 Mo.upf
Au 196.97 Au.upf
P 30.97 P.upf
CELL_PARAMETERS angstrom
-2.169 -2.304 4.460
0.824 2.250 4.916
-4.131 2.454 2.611
ATOMIC_POSITIONS crystal
Mo 0.750 0.750 0.750
Au 0.375 0.375 0.875
Au 0.375 0.875 0.375
Au 0.875 0.375 0.375
Au 0.375 0.375 0.375
P 0.000 0.000 0.000



Entry 5:
! Mo3PAu (PBE, relaxed); values from VASP
! Space group: No. 221
! Calculated formation energy (kJ/mol of formula units): 1176
! Distance to the lowest polymorph of the same formula (meV/atom): 1844.7
&SYSTEM
  ibrav = 0, nat = 5, ntyp = 3
/
ATOMIC_SPECIES
Mo 95.94 Mo.upf
P 30.97 P.upf
Au 196.97 Au.upf
CELL_PARAMETERS angstrom
4.847 0.000 0.000
0.000 4.847 0.000
0.000 0.000 4.847
ATOMIC_POSITIONS crystal
Mo 0.500 0.000 0.000
Mo 0.000 0.000 0.500
Mo 0.000 0.500 0.000
P 0.500 0.500 0.500
Au 0.000 0.000 0.000



Entry 6:
! MoPAu2 (PBE, relaxed); values from VASP
! Space group: No. 71
! Calculated formation energy (kJ/mol of formula units): 73
&SYSTEM
  ibrav = 0, nat = 4, ntyp = 3
/
ATOMIC_SPECIES
Au 196.97 Au.upf
Mo 95.94 Mo.upf
P 30.97 P.upf
CELL_PARAMETERS angstrom
2.379 1.361 5.800
4.329 4.154 2.272
-5.313 -1.496 -3.270
ATOMIC_POSITIONS crystal
Au 0.312 0.312 0.000
Au 0.688 0.688 0.000
Mo 0.000 0.500 0.500
P 0.500 0.000 0.500



Calculated VASP energy (eV per atom), listed in the same order as above: -5.311, -5.697, -5.570, -4.204, -5.798, -5.509
Calculated spin magnetization (μB/f.u.), listed in the same order as above: 0.0, 0.0, 0.0, 3.2, 0.0, 0.0